(1)
Entry from the Alexandria database: a relaxed Er2ScAl3 crystal (GGA-PBE).

The structure in POSCAR format:
```
Er2ScAl3
1.0
-2.892 1.300 -1.485
-1.699 -2.980 0.700
-3.022 3.908 9.308
Er Sc Al
2 1 3
direct
0.500 0.500 0.827
0.500 0.500 0.173
0.500 0.500 0.500
0.000 0.000 0.000
0.000 0.000 0.650
0.000 0.000 0.350
```

Values from the calculation:
energy relative to the elements = -0.409 eV per atom
N(E_F) = 3.07 states/eV/f.u.
spin magnetization = 0.0 μB/f.u.


(2)
Entry from the Alexandria database: a relaxed LiCoNi crystal (GGA-PBE).

The structure in POSCAR format:
```
LiCoNi
1.0
6.702 -0.015 0.011
6.073 2.346 -0.036
0.629 -0.863 2.198
Co Li Ni
1 1 1
direct
0.996 0.996 0.004
0.668 0.668 0.332
0.336 0.336 0.664
```

Values from the calculation:
energy relative to the elements = 0.124 eV per atom
offset from the most stable computed form = 98.4 meV per atom
N(E_F) = 4.05 states/eV/f.u.
spin magnetization = 2.2 μB/f.u.